The following is a PBE calculation of a relaxed B7C crystal, from Alexandria via LeMat-Bulk.

The space group is I-42m (No. 121) and the conventional cell measures 4.038, 4.038 and 7.807 Å, with angles of 90.00, 90.00 and 90.00 degrees. The inequivalent atoms are B at (0.000, 0.000, 0.000), B at (0.000, 0.500, 0.250), B at (0.236, 0.236, 0.399) and C at (0.000, 0.000, 0.500).

As for the size of the total moment: 0.00 μB/f.u. The calculation puts the calculated formation energy at 0.73 eV/atom. As for the theoretical density: 2.29 g cm⁻³. For the relative energy among the computed polymorphs, the calculation gives 38.54 kJ/mol of atoms. As for the total energy: -6.266 eV per atom.

=====

The following is a PBE calculation of a relaxed BC crystal, from Alexandria via LeMat-Bulk.

The space group is I-4m2 (No. 119) and the conventional cell measures 2.485, 2.485 and 21.595 Å, with angles of 90.00, 90.00 and 90.00 degrees. The inequivalent atoms are B at (0.000, 0.000, 0.000), B at (0.000, 0.500, 0.158), B at (0.000, 0.500, 0.562), C at (0.000, 0.000, 0.209), C at (0.000, 0.000, 0.390) and C at (0.000, 0.500, 0.750).

As for the size of the total moment: 0.00 μB/f.u. The calculation puts the calculated formation energy at 0.41 eV/atom. As for the theoretical density: 2.84 g cm⁻³. For the relative energy among the computed polymorphs, the calculation gives 24.60 kJ/mol of atoms. As for the total energy: -7.545 eV per atom.

=====

The following is a PBE calculation of a relaxed B7C5 crystal, from Alexandria via LeMat-Bulk.

The space group is Pm (No. 6) and the conventional cell measures 4.699, 2.721 and 8.435 Å, with angles of 90.00, 103.60 and 90.00 degrees. The inequivalent atoms are B at (0.000, 0.000, 0.000), B at (0.053, 0.500, 0.787), B at (0.172, 0.000, 0.673), B at (0.438, 0.000, 0.476), B at (0.497, 0.500, 0.995), B at (0.625, 0.000, 0.783), B at (0.935, 0.500, 0.477), C at (0.107, 0.000, 0.484), C at (0.159, 0.500, 0.984), C at (0.612, 0.500, 0.502), C at (0.657, 0.000, 0.979) and C at (0.679, 0.500, 0.695).

As for the size of the total moment: 0.00 μB/f.u. The calculation puts the calculated formation energy at 0.22 eV/atom. As for the theoretical density: 2.15 g cm⁻³. For the relative energy among the computed polymorphs, the calculation gives 5.43 kJ/mol of atoms. As for the total energy: -7.518 eV per atom.

=====

The following is a PBE calculation of a relaxed BC crystal, from Alexandria via LeMat-Bulk.

The space group is Pm (No. 6) and the conventional cell measures 4.770, 2.551 and 6.685 Å, with angles of 90.00, 97.33 and 90.00 degrees. The inequivalent atoms are B at (0.000, 0.000, 0.000), B at (0.029, 0.000, 0.267), B at (0.194, 0.500, 0.867), B at (0.289, 0.000, 0.548), B at (0.368, 0.000, 0.249), B at (0.788, 0.500, 0.338), C at (0.122, 0.500, 0.639), C at (0.514, 0.500, 0.188), C at (0.530, 0.500, 0.963), C at (0.647, 0.000, 0.646), C at (0.662, 0.000, 0.885) and C at (0.797, 0.500, 0.576).

As for the size of the total moment: 0.00 μB/f.u. The calculation puts the calculated formation energy at 0.43 eV/atom. As for the theoretical density: 2.82 g cm⁻³. For the relative energy among the computed polymorphs, the calculation gives 26.88 kJ/mol of atoms. As for the total energy: -7.521 eV per atom.

=====

The following is a PBE calculation of a relaxed BC crystal, from Alexandria via LeMat-Bulk.

The space group is C2/m (No. 12) and the conventional cell measures 12.103, 2.598 and 5.508 Å, with angles of 90.00, 104.21 and 90.00 degrees. The inequivalent atoms are B at (0.066, 0.000, 0.341), B at (0.188, 0.500, 0.722), B at (0.194, 0.500, 0.216), C at (0.041, 0.000, 0.907), C at (0.114, 0.500, 0.928) and C at (0.125, 0.500, 0.432).

As for the size of the total moment: 0.00 μB/f.u. The calculation puts the calculated formation energy at 0.31 eV/atom. As for the theoretical density: 2.71 g cm⁻³. For the relative energy among the computed polymorphs, the calculation gives 14.91 kJ/mol of atoms. As for the total energy: -7.645 eV per atom.

=====

The following is a PBE calculation of a relaxed B7C5 crystal, from Alexandria via LeMat-Bulk.

The space group is Cm (No. 8) and the conventional cell measures 13.415, 2.603 and 4.953 Å, with angles of 90.00, 107.07 and 90.00 degrees. The inequivalent atoms are B at (0.000, 0.000, 0.000), B at (0.008, 0.500, 0.568), B at (0.139, 0.500, 0.572), B at (0.165, 0.000, 0.844), B at (0.303, 0.500, 0.459), B at (0.326, 0.500, 0.103), B at (0.449, 0.500, 0.323), C at (0.128, 0.000, 0.125), C at (0.171, 0.500, 0.294), C at (0.290, 0.000, 0.918), C at (0.341, 0.000, 0.683) and C at (0.456, 0.000, 0.808).

As for the size of the total moment: 0.00 μB/f.u. The calculation puts the calculated formation energy at 0.45 eV/atom. As for the theoretical density: 2.73 g cm⁻³. For the relative energy among the computed polymorphs, the calculation gives 27.74 kJ/mol of atoms. As for the total energy: -7.287 eV per atom.

=====

The following is a PBE calculation of a relaxed B7C5 crystal, from Alexandria via LeMat-Bulk.

The space group is P1 (No. 1) and the conventional cell measures 4.469, 4.761 and 4.913 Å, with angles of 118.64, 102.95 and 96.52 degrees. The inequivalent atoms are B at (0.000, 0.000, 0.000), B at (0.001, 0.385, 0.672), B at (0.426, 0.164, 0.213), B at (0.430, 0.760, 0.190), B at (0.453, 0.132, 0.801), B at (0.774, 0.033, 0.305), B at (0.947, 0.631, 0.390), C at (0.320, 0.760, 0.477), C at (0.357, 0.442, 0.802), C at (0.476, 0.518, 0.560), C at (0.763, 0.245, 0.108) and C at (0.835, 0.659, 0.699).

As for the size of the total moment: 0.00 μB/f.u. The calculation puts the calculated formation energy at 0.39 eV/atom. As for the theoretical density: 2.61 g cm⁻³. For the relative energy among the computed polymorphs, the calculation gives 21.48 kJ/mol of atoms. As for the total energy: -7.351 eV per atom.

=====

The following is a PBE calculation of a relaxed B7C5 crystal, from Alexandria via LeMat-Bulk.

The space group is P1 (No. 1) and the conventional cell measures 3.667, 4.888 and 5.559 Å, with angles of 66.38, 88.16 and 69.14 degrees. The inequivalent atoms are B at (0.000, 0.000, 0.000), B at (0.015, 0.945, 0.445), B at (0.067, 0.324, 0.389), B at (0.338, 0.270, 0.113), B at (0.435, 0.624, 0.074), B at (0.671, 0.604, 0.789), B at (0.692, 0.012, 0.680), C at (0.086, 0.307, 0.863), C at (0.320, 0.326, 0.634), C at (0.416, 0.629, 0.543), C at (0.634, 0.661, 0.307) and C at (0.738, 0.951, 0.223).

As for the size of the total moment: 0.00 μB/f.u. The calculation puts the calculated formation energy at 0.40 eV/atom. As for the theoretical density: 2.66 g cm⁻³. For the relative energy among the computed polymorphs, the calculation gives 23.13 kJ/mol of atoms. As for the total energy: -7.334 eV per atom.

=====

The following is a PBE calculation of a relaxed B3C7 crystal, from Alexandria via LeMat-Bulk.

The space group is R3m (No. 160, hexagonal axes) and the conventional cell measures 2.5813, 2.5813 and 32.7065 Å, with angles of 90.00, 90.00 and 120.00 degrees. The inequivalent atoms are B at (0.0000, 0.0000, 0.0000), B at (0.0000, 0.0000, 0.1550), B at (0.0000, 0.0000, 0.4012), C at (0.0000, 0.0000, 0.2048), C at (0.0000, 0.0000, 0.3533), C at (0.0000, 0.0000, 0.5525), C at (0.0000, 0.0000, 0.6020), C at (0.0000, 0.0000, 0.7570), C at (0.0000, 0.0000, 0.8006) and C at (0.0000, 0.0000, 0.9493).

As for the size of the total moment: 0.00 μB/f.u. The calculation puts the calculated formation energy at 0.31 eV/atom. As for the theoretical density: 3.08 g cm⁻³. For the relative energy among the computed polymorphs, the calculation gives 4.23 kJ/mol of atoms. As for the total energy: -8.154 eV per atom.

=====

The following is a PBE calculation of a relaxed BC crystal, from Alexandria via LeMat-Bulk.

The space group is Cm (No. 8) and the conventional cell measures 8.027, 2.571 and 8.958 Å, with angles of 90.00, 113.49 and 90.00 degrees. The inequivalent atoms are B at (0.000, 0.000, 0.000), B at (0.004, 0.500, 0.149), B at (0.073, 0.000, 0.469), B at (0.148, 0.500, 0.363), B at (0.267, 0.500, 0.235), B at (0.318, 0.000, 0.523), C at (0.185, 0.000, 0.966), C at (0.231, 0.500, 0.897), C at (0.241, 0.000, 0.660), C at (0.241, 0.500, 0.744), C at (0.309, 0.000, 0.155) and C at (0.369, 0.500, 0.451).

As for the size of the total moment: 0.00 μB/f.u. The calculation puts the calculated formation energy at 0.32 eV/atom. As for the theoretical density: 2.68 g cm⁻³. For the relative energy among the computed polymorphs, the calculation gives 15.92 kJ/mol of atoms. As for the total energy: -7.635 eV per atom.

=====

The following is a PBE calculation of a relaxed BC crystal, from Alexandria via LeMat-Bulk.

The space group is Imm2 (No. 44) and the conventional cell measures 2.641, 2.732 and 19.129 Å, with angles of 90.00, 90.00 and 90.00 degrees. The inequivalent atoms are B at (0.000, 0.000, 0.000), B at (0.000, 0.000, 0.182), B at (0.000, 0.000, 0.594), B at (0.000, 0.500, 0.421), B at (0.000, 0.500, 0.838), C at (0.000, 0.000, 0.384), C at (0.000, 0.000, 0.780), C at (0.000, 0.500, 0.035), C at (0.000, 0.500, 0.242) and C at (0.000, 0.500, 0.638).

As for the size of the total moment: 0.00 μB/f.u. The calculation puts the calculated formation energy at 0.37 eV/atom. As for the theoretical density: 2.75 g cm⁻³. For the relative energy among the computed polymorphs, the calculation gives 20.73 kJ/mol of atoms. As for the total energy: -7.585 eV per atom.